1.
The following is a DFT calculation (PBE) of an optimized crystal structure of LiBe3.

The structure in POSCAR format:
```
LiBe3
1.0
3.316 0.000 0.000
0.000 3.316 0.000
0.000 0.000 3.316
Be Li
3 1
direct
0.000 0.500 0.500
0.500 0.500 0.000
0.500 0.000 0.500
0.000 0.000 0.000
```

For the density of states at the Fermi level, the calculation gives 0.16 states/eV/atom. The value obtained for the mass density is 1.548 Mg/m³. The energy of formation from the pure elements is 0.230 eV per atom. The calculation puts the uncorrected energy at -12.2 eV per cell.



2.
The following is a DFT calculation (PBE) of an optimized crystal structure of LaPrCd2.

The structure in POSCAR format:
```
LaPrCd2
1.0
3.926 0.000 0.000
0.000 5.518 0.000
0.000 0.000 5.518
Pr Cd La
1 2 1
direct
0.500 0.500 0.500
0.000 0.000 0.500
0.000 0.500 0.000
0.500 0.000 0.000
```

For the density of states at the Fermi level, the calculation gives 1.24 states/eV/atom. The value obtained for the mass density is 7.010 Mg/m³. The energy of formation from the pure elements is -0.323 eV per atom. The calculation puts the uncorrected energy at -12.8 eV per cell.



3.
The following is a DFT calculation (PBE) of an optimized crystal structure of YTlZn.

The structure in POSCAR format:
```
YTlZn
1.0
-3.440 -4.871 0.518
0.294 -2.866 -3.712
3.861 -4.500 0.811
Zn Y Tl
2 2 2
direct
0.199 0.697 0.315
0.812 0.697 0.702
0.837 0.365 0.340
0.335 0.367 0.838
0.901 0.034 0.938
0.435 0.034 0.404
```

For the density of states at the Fermi level, the calculation gives 0.56 states/eV/atom. The value obtained for the mass density is 8.420 Mg/m³. The energy of formation from the pure elements is -0.320 eV per atom. The calculation puts the uncorrected energy at -22.1 eV per cell.